Entry 1:
# ZrP2Pb, optimized geometry, DFT PBE
# - total DFT energy (no corrections) (eV per atom) = -5.730
data_ZrP2Pb
_chemical_formula_sum 'Zr3 P6 Pb3'
_cell_length_a 3.8888
_cell_length_b 3.8888
_cell_length_c 21.4876
_cell_angle_alpha 90.00
_cell_angle_beta 90.00
_cell_angle_gamma 120.00
_space_group_name_H-M_alt 'R 3 m'
_space_group_IT_number 160
_space_group_name_Hall 'R 3 -2"'
loop_
_atom_site_label
_atom_site_type_symbol
_atom_site_fract_x
_atom_site_fract_y
_atom_site_fract_z
_atom_site_occupancy
Zr1 Zr 0.0000 0.0000 0.0000 1
P1 P 0.0000 0.0000 0.2756 1
P2 P 0.0000 0.0000 0.5073 1
Pb1 Pb 0.0000 0.0000 0.7733 1



Entry 2:
# ZrPPb2, optimized geometry, DFT PBE
# - total DFT energy (no corrections) (eV per atom) = -5.750
data_ZrPPb2
_chemical_formula_sum 'Zr1 P1 Pb2'
_cell_length_a 3.525
_cell_length_b 3.590
_cell_length_c 8.314
_cell_angle_alpha 90.00
_cell_angle_beta 101.93
_cell_angle_gamma 90.00
_space_group_name_H-M_alt 'P 1 m 1'
_space_group_IT_number 6
_space_group_name_Hall 'P -2y'
loop_
_atom_site_label
_atom_site_type_symbol
_atom_site_fract_x
_atom_site_fract_y
_atom_site_fract_z
_atom_site_occupancy
Zr1 Zr 0.000 0.000 0.000 1
P1 P 0.543 0.500 0.090 1
Pb1 Pb 0.360 0.500 0.716 1
Pb2 Pb 0.685 0.000 0.380 1



Entry 3:
# ZrPPb2, optimized geometry, DFT PBE
# - total DFT energy (no corrections) (eV per atom) = -5.686
data_ZrPPb2
_chemical_formula_sum 'Zr1 P1 Pb2'
_cell_length_a 3.529
_cell_length_b 3.529
_cell_length_c 8.084
_cell_angle_alpha 90.00
_cell_angle_beta 90.00
_cell_angle_gamma 90.00
_space_group_name_H-M_alt 'P 4 m m'
_space_group_IT_number 99
_space_group_name_Hall 'P 4 -2'
loop_
_atom_site_label
_atom_site_type_symbol
_atom_site_fract_x
_atom_site_fract_y
_atom_site_fract_z
_atom_site_occupancy
Zr1 Zr 0.000 0.000 0.000 1
P1 P 0.500 0.500 0.102 1
Pb1 Pb 0.000 0.000 0.398 1
Pb2 Pb 0.500 0.500 0.717 1



Entry 4:
# Zr2PPb, optimized geometry, DFT PBE
# - distance to the lowest polymorph of the same formula (eV per formula unit) = 2.03
data_Zr2PPb
_chemical_formula_sum 'Zr4 P2 Pb2'
_cell_length_a 6.458
_cell_length_b 7.715
_cell_length_c 3.513
_cell_angle_alpha 90.00
_cell_angle_beta 103.01
_cell_angle_gamma 90.00
_space_group_name_H-M_alt 'C 1 2/m 1'
_space_group_IT_number 12
_space_group_name_Hall '-C 2y'
loop_
_atom_site_label
_atom_site_type_symbol
_atom_site_fract_x
_atom_site_fract_y
_atom_site_fract_z
_atom_site_occupancy
Zr1 Zr 0.250 0.250 0.000 1
P1 P 0.000 0.000 0.500 1
Pb1 Pb 0.000 0.500 0.500 1



Entry 5:
# Zr3PPb, optimized geometry, DFT PBE
# - distance to the lowest polymorph of the same formula (eV per formula unit) = 9.34
data_Zr3PPb
_chemical_formula_sum 'Zr3 P1 Pb1'
_cell_length_a 5.345
_cell_length_b 5.345
_cell_length_c 5.345
_cell_angle_alpha 90.00
_cell_angle_beta 90.00
_cell_angle_gamma 90.00
_space_group_name_H-M_alt 'P m -3 m'
_space_group_IT_number 221
_space_group_name_Hall '-P 4 2 3'
loop_
_atom_site_label
_atom_site_type_symbol
_atom_site_fract_x
_atom_site_fract_y
_atom_site_fract_z
_atom_site_occupancy
Zr1 Zr 0.000 0.000 0.500 1
P1 P 0.500 0.500 0.500 1
Pb1 Pb 0.000 0.000 0.000 1



Entry 6:
# Zr2PPb, optimized geometry, DFT PBE
# - distance to the lowest polymorph of the same formula (eV per formula unit) = 3.00
data_Zr2PPb
_chemical_formula_sum 'Zr6 P3 Pb3'
_cell_length_a 3.4987
_cell_length_b 3.4987
_cell_length_c 26.6038
_cell_angle_alpha 90.00
_cell_angle_beta 90.00
_cell_angle_gamma 120.00
_space_group_name_H-M_alt 'R 3 m'
_space_group_IT_number 160
_space_group_name_Hall 'R 3 -2"'
loop_
_atom_site_label
_atom_site_type_symbol
_atom_site_fract_x
_atom_site_fract_y
_atom_site_fract_z
_atom_site_occupancy
Zr1 Zr 0.0000 0.0000 0.0000 1
Zr2 Zr 0.0000 0.0000 0.2439 1
P1 P 0.0000 0.0000 0.7280 1
Pb1 Pb 0.0000 0.0000 0.4785 1



Entry 7:
# ZrP2Pb, optimized geometry, DFT PBE
# - total DFT energy (no corrections) (eV per atom) = -5.359
data_ZrP2Pb
_chemical_formula_sum 'Zr4 P8 Pb4'
_cell_length_a 6.886
_cell_length_b 6.886
_cell_length_c 6.886
_cell_angle_alpha 90.00
_cell_angle_beta 90.00
_cell_angle_gamma 90.00
_space_group_name_H-M_alt 'F -4 3 m'
_space_group_IT_number 216
_space_group_name_Hall 'F -4 2 3'
loop_
_atom_site_label
_atom_site_type_symbol
_atom_site_fract_x
_atom_site_fract_y
_atom_site_fract_z
_atom_site_occupancy
Zr1 Zr 0.000 0.000 0.000 1
P1 P 0.000 0.000 0.500 1
P2 P 0.250 0.250 0.750 1
Pb1 Pb 0.250 0.250 0.250 1



Entry 8:
# ZrP2Pb, optimized geometry, DFT PBE
# - total DFT energy (no corrections) (eV per atom) = -6.258
data_ZrP2Pb
_chemical_formula_sum 'Zr1 P2 Pb1'
_cell_length_a 3.510
_cell_length_b 3.510
_cell_length_c 6.663
_cell_angle_alpha 90.00
_cell_angle_beta 90.00
_cell_angle_gamma 90.00
_space_group_name_H-M_alt 'P 4/m m m'
_space_group_IT_number 123
_space_group_name_Hall '-P 4 2'
loop_
_atom_site_label
_atom_site_type_symbol
_atom_site_fract_x
_atom_site_fract_y
_atom_site_fract_z
_atom_site_occupancy
Zr1 Zr 0.000 0.000 0.000 1
P1 P 0.500 0.500 0.178 1
Pb1 Pb 0.000 0.000 0.500 1



Entry 9:
# ZrP2Pb, optimized geometry, DFT PBE
# - total DFT energy (no corrections) (eV per atom) = -6.208
data_ZrP2Pb
_chemical_formula_sum 'Zr1 P2 Pb1'
_cell_length_a 3.509
_cell_length_b 3.748
_cell_length_c 7.077
_cell_angle_alpha 90.00
_cell_angle_beta 93.45
_cell_angle_gamma 90.00
_space_group_name_H-M_alt 'P 1 m 1'
_space_group_IT_number 6
_space_group_name_Hall 'P -2y'
loop_
_atom_site_label
_atom_site_type_symbol
_atom_site_fract_x
_atom_site_fract_y
_atom_site_fract_z
_atom_site_occupancy
Zr1 Zr 0.000 0.000 0.000 1
P1 P 0.492 0.500 0.881 1
P2 P 0.529 0.000 0.279 1
Pb1 Pb 0.106 0.500 0.479 1



Entry 10:
# Zr2PPb, optimized geometry, DFT PBE
# - distance to the lowest polymorph of the same formula (eV per formula unit) = 0.15
data_Zr2PPb
_chemical_formula_sum 'Zr4 P2 Pb2'
_cell_length_a 6.394
_cell_length_b 3.659
_cell_length_c 7.890
_cell_angle_alpha 90.00
_cell_angle_beta 105.38
_cell_angle_gamma 90.00
_space_group_name_H-M_alt 'C 1 2/m 1'
_space_group_IT_number 12
_space_group_name_Hall '-C 2y'
loop_
_atom_site_label
_atom_site_type_symbol
_atom_site_fract_x
_atom_site_fract_y
_atom_site_fract_z
_atom_site_occupancy
Zr1 Zr 0.229 0.000 0.186 1
P1 P 0.000 0.500 0.000 1
Pb1 Pb 0.000 0.000 0.500 1



Entry 11:
# ZrP2Pb, optimized geometry, DFT PBE
# - total DFT energy (no corrections) (eV per atom) = -6.068
data_ZrP2Pb
_chemical_formula_sum 'Zr2 P4 Pb2'
_cell_length_a 4.087
_cell_length_b 5.212
_cell_length_c 8.003
_cell_angle_alpha 90.00
_cell_angle_beta 90.00
_cell_angle_gamma 90.00
_space_group_name_H-M_alt 'C m m m'
_space_group_IT_number 65
_space_group_name_Hall '-C 2 2'
loop_
_atom_site_label
_atom_site_type_symbol
_atom_site_fract_x
_atom_site_fract_y
_atom_site_fract_z
_atom_site_occupancy
Zr1 Zr 0.000 0.000 0.000 1
P1 P 0.000 0.500 0.207 1
Pb1 Pb 0.000 0.000 0.500 1



Entry 12:
# Zr2P2Pb, optimized geometry, DFT PBE
# - distance to the lowest polymorph of the same formula (eV per formula unit) = 0.18
data_Zr2P2Pb
_chemical_formula_sum 'Zr4 P4 Pb2'
_cell_length_a 3.694
_cell_length_b 3.694
_cell_length_c 14.674
_cell_angle_alpha 90.00
_cell_angle_beta 90.00
_cell_angle_gamma 90.00
_space_group_name_H-M_alt 'I 4/m m m'
_space_group_IT_number 139
_space_group_name_Hall '-I 4 2'
loop_
_atom_site_label
_atom_site_type_symbol
_atom_site_fract_x
_atom_site_fract_y
_atom_site_fract_z
_atom_site_occupancy
Zr1 Zr 0.000 0.000 0.120 1
P1 P 0.000 0.500 0.250 1
Pb1 Pb 0.000 0.000 0.500 1